The following is a PBE with a Hubbard U calculation of a relaxed structure of CsLiMoO4, from Alexandria via LeMat-Bulk.

Structure (CIF):
```
data_CsLiMoO4
_symmetry_space_group_name_H-M 'F -4 3 m'
_symmetry_Int_Tables_number 216
_symmetry_space_group_name_Hall 'F -4 2 3'
_cell_length_a 8.5761
_cell_length_b 8.5761
_cell_length_c 8.5761
_cell_angle_alpha 90.00
_cell_angle_beta 90.00
_cell_angle_gamma 90.00
loop_
_atom_site_label
_atom_site_type_symbol
_atom_site_fract_x
_atom_site_fract_y
_atom_site_fract_z
_atom_site_occupancy
Cs1 Cs 0.0000 0.0000 0.0000 1
Li1 Li 0.2500 0.2500 0.2500 1
Mo1 Mo 0.0000 0.0000 0.5000 1
O1 O 0.1208 0.1208 0.3792 1
```

## Properties
- DOS(E_F) (states/eV per atom) = 0.000
- excess energy over the best structure of this formula in the dataset (meV/atom) = 0
- calculated volume (Å³ per cell) = 630.77
- E_tot (eV per atom) = -6.189
- magnetic moment (μB/atom) = 0.0000